! MnV3Ge, relaxed, DFT GGA-PBE; values from VASP
! Space-group type: Pm-3m (221)
! Energy relative to the lowest polymorph listed for this composition, meV/atom: 771.4
! Formation energy, kJ/mol of formula units: 302.8
&SYSTEM
  ibrav = 0, nat = 5, ntyp = 3
/
ATOMIC_SPECIES
Ge 72.64 Ge.upf
Mn 54.94 Mn.upf
V 50.94 V.upf
CELL_PARAMETERS angstrom
4.286 0.000 0.000
0.000 4.286 0.000
0.000 0.000 4.286
ATOMIC_POSITIONS crystal
Ge 0.500 0.500 0.500
Mn 0.000 0.000 0.000
V 0.000 0.500 0.000
V 0.000 0.000 0.500
V 0.500 0.000 0.000

! CaNbRh3, relaxed, DFT GGA-PBE; values from VASP
! Space-group type: Pm-3m (221)
! Energy relative to the lowest polymorph listed for this composition, meV/atom: 0.0
! Formation energy, kJ/mol of formula units: 104.3
&SYSTEM
  ibrav = 0, nat = 5, ntyp = 3
/
ATOMIC_SPECIES
Nb 92.91 Nb.upf
Rh 102.91 Rh.upf
Ca 40.08 Ca.upf
CELL_PARAMETERS angstrom
4.783 0.000 0.000
0.000 4.783 0.000
0.000 0.000 4.783
ATOMIC_POSITIONS crystal
Nb 0.000 0.000 0.000
Rh 0.000 0.500 0.000
Rh 0.000 0.000 0.500
Rh 0.500 0.000 0.000
Ca 0.500 0.500 0.500

! AlFeRh2, relaxed, DFT GGA-PBE; values from VASP
! Space-group type: Cm (8)
! Formation energy, kJ/mol of formula units: -177.2
&SYSTEM
  ibrav = 0, nat = 4, ntyp = 3
/
ATOMIC_SPECIES
Rh 102.91 Rh.upf
Fe 55.84 Fe.upf
Al 26.98 Al.upf
CELL_PARAMETERS angstrom
-0.756 -4.663 0.826
1.292 -4.458 -1.206
2.992 -1.186 2.895
ATOMIC_POSITIONS crystal
Rh 0.993 0.993 0.060
Rh 0.758 0.758 0.691
Fe 0.250 0.250 0.198
Al 0.500 0.500 0.551

! CaFeNi2, relaxed, DFT GGA-PBE; values from VASP
! Space-group type: I-4m2 (119)
! Formation energy, kJ/mol of formula units: 124.7
&SYSTEM
  ibrav = 0, nat = 4, ntyp = 3
/
ATOMIC_SPECIES
Ni 58.69 Ni.upf
Ca 40.08 Ca.upf
Fe 55.84 Fe.upf
CELL_PARAMETERS angstrom
-4.704 1.580 -0.160
-2.443 -1.134 -4.170
2.764 -2.520 3.264
ATOMIC_POSITIONS crystal
Ni 0.000 0.000 0.000
Ni 0.250 0.750 0.500
Ca 0.500 0.500 0.000
Fe 0.750 0.250 0.500

! Ca2LaMo2, relaxed, DFT GGA-PBE; values from VASP
! Space-group type: P4/mbm (127)
! Energy relative to the lowest polymorph listed for this composition, meV/atom: 389.4
! Formation energy, kJ/mol of formula units: 460.0
&SYSTEM
  ibrav = 0, nat = 10, ntyp = 3
/
ATOMIC_SPECIES
Mo 95.94 Mo.upf
Ca 40.08 Ca.upf
La 138.91 La.upf
CELL_PARAMETERS angstrom
9.242 0.000 0.000
0.000 9.242 0.000
0.000 0.000 2.933
ATOMIC_POSITIONS crystal
Mo 0.178 0.678 0.500
Mo 0.678 0.822 0.500
Mo 0.822 0.322 0.500
Mo 0.322 0.178 0.500
Ca 0.378 0.878 0.000
Ca 0.878 0.622 0.000
Ca 0.622 0.122 0.000
Ca 0.122 0.378 0.000
La 0.000 0.000 0.000
La 0.500 0.500 0.000

! Dy6Hg5Pd, relaxed, DFT GGA-PBE; values from VASP
! Space-group type: Cmmm (65)
! Formation energy, kJ/mol of formula units: -630.0
&SYSTEM
  ibrav = 0, nat = 12, ntyp = 3
/
ATOMIC_SPECIES
Hg 200.59 Hg.upf
Pd 106.42 Pd.upf
Dy 162.50 Dy.upf
CELL_PARAMETERS angstrom
-4.590 0.504 2.394
3.244 -1.365 6.507
-0.969 7.875 2.135
ATOMIC_POSITIONS crystal
Hg 0.668 0.500 0.663
Hg 0.328 0.000 0.344
Hg 0.000 0.500 0.000
Hg 0.672 0.000 0.656
Hg 0.332 0.500 0.337
Pd 0.000 0.000 0.000
Dy 0.839 0.755 0.322
Dy 0.839 0.245 0.322
Dy 0.500 0.239 0.000
Dy 0.500 0.761 0.000
Dy 0.161 0.755 0.678
Dy 0.161 0.245 0.678